1.
An optimized crystal structure of CdAs2SeO, computed with PBE-GGA.

Lattice parameters (Å, degrees): 4.3251 4.3251 5.0210 90.00 90.00 90.00
Last column: nearest neighbours and their distance in Å.
Fractional positions:
Cd (0.0000, 0.0000, 0.0000)  4 Se 3.06, 8 As 3.31
As (0.0000, 0.5000, 0.5000)  2 O 2.16
As (0.5000, 0.0000, 0.5000)  2 O 2.16
Se (0.5000, 0.5000, 0.0000)  2 O 2.51
O (0.5000, 0.5000, 0.5000)  4 As 2.16

Space-group type ... P4/mmm
Formation energy without anion corrections ... 0.275 eV/atom



2.
An optimized crystal structure of Li2Pd8Au3, computed with PBE-GGA.

Lattice parameters (Å, degrees): 9.9427 9.9427 9.9427 30.23 30.23 30.23
Last column: nearest neighbours and their distance in Å.
Fractional positions:
Li (0.1418, 0.1418, 0.1418)  4 Pd 2.32-2.54
Li (0.8582, 0.8582, 0.8582)  4 Pd 2.32-2.54
Pd (0.2235, 0.2235, 0.2235)  1 Li 2.32
Pd (0.2368, 0.2368, 0.7360)  1 Li 2.54, 6 Pd 2.59-2.83, 1 Au 2.84
Pd (0.2368, 0.7360, 0.2368)  1 Li 2.54, 6 Pd 2.59-2.83, 1 Au 2.84
Pd (0.2640, 0.7632, 0.7632)  1 Li 2.54, 6 Pd 2.59-2.83, 1 Au 2.84
Pd (0.7360, 0.2368, 0.2368)  1 Li 2.54, 6 Pd 2.59-2.83, 1 Au 2.84
Pd (0.7632, 0.2640, 0.7632)  1 Li 2.54, 6 Pd 2.59-2.83, 1 Au 2.84
Pd (0.7632, 0.7632, 0.2640)  1 Li 2.54, 6 Pd 2.59-2.83, 1 Au 2.84
Pd (0.7765, 0.7765, 0.7765)  1 Li 2.32
Au (0.3185, 0.3185, 0.3185)  4 Pd 2.70-2.84
Au (0.5000, 0.5000, 0.5000)  6 Li 3.08, 12 Pd 3.13-3.40
Au (0.6815, 0.6815, 0.6815)  4 Pd 2.70-2.84

Space-group type ... R-3m
Energy relative to the elements ... 0.030 eV/atom



3.
An optimized crystal structure of CrP2, computed with PBE-GGA.

Lattice parameters (Å, degrees): 2.9642 2.9642 5.0445 90.00 90.00 120.00
Last column: nearest neighbours and their distance in Å.
Fractional positions:
Cr (0.0000, 0.0000, 0.0000)  6 P 2.33
P (0.3333, 0.6667, 0.3124)  3 Cr 2.33, 3 P 2.55
P (0.6667, 0.3333, 0.6876)  3 Cr 2.33, 3 P 2.55

Space-group type ... P-3m1
Energy relative to the elements ... -0.196 eV/atom



4.
An optimized crystal structure of KZnCr, computed with PBE-GGA.

Lattice parameters (Å, degrees): 3.4283 3.4283 7.7367 90.00 90.00 120.00
Last column: nearest neighbours and their distance in Å.
Fractional positions:
K (0.0000, 0.0000, 0.0000)  6 K 3.43, 3 Zn 3.46, 3 Cr 3.65
Zn (0.3333, 0.6667, 0.3665)  3 Cr 2.70
Cr (0.6667, 0.3333, 0.6038)  3 Zn 2.70

Space-group type ... P3m1
Energy relative to the elements ... 0.821 eV/atom



5.
An optimized crystal structure of ZnInW2, computed with PBE-GGA.

Lattice parameters (Å, degrees): 2.8725 2.8725 29.6199 90.00 90.00 120.00
Last column: nearest neighbours and their distance in Å.
Fractional positions:
Zn (0.0000, 0.0000, 0.0000)  3 W 2.80, 6 Zn 2.87
Zn (0.3333, 0.6667, 0.6667)  3 W 2.80, 6 Zn 2.87
Zn (0.6667, 0.3333, 0.3333)  3 W 2.80, 6 Zn 2.87
In (0.0000, 0.0000, 0.7583)  6 In 2.87, 3 W 3.03, 3 Zn 3.18
In (0.3333, 0.6667, 0.4250)  6 In 2.87, 3 W 3.03, 3 Zn 3.18
In (0.6667, 0.3333, 0.0916)  6 In 2.87, 3 W 3.03, 3 Zn 3.18
W (0.0000, 0.0000, 0.2574)  3 Zn 2.80, 9 W 2.87-2.90
W (0.0000, 0.0000, 0.5104)  9 W 2.87-2.90, 3 In 3.03
W (0.3333, 0.6667, 0.1771)  9 W 2.87-2.90, 3 In 3.03
W (0.3333, 0.6667, 0.9240)  3 Zn 2.80, 9 W 2.87-2.90
W (0.6667, 0.3333, 0.5907)  3 Zn 2.80, 9 W 2.87-2.90
W (0.6667, 0.3333, 0.8438)  9 W 2.87-2.90, 3 In 3.03

Space-group type ... R3m
Energy relative to the elements ... 0.497 eV/atom



6.
An optimized crystal structure of EuLuZnGa, computed with PBE-GGA.

Lattice parameters (Å, degrees): 7.2377 7.2377 7.2377 90.00 90.00 90.00
Last column: nearest neighbours and their distance in Å.
Fractional positions:
Eu (0.0000, 0.0000, 0.0000)  4 Zn 3.13, 4 Ga 3.13
Eu (0.0000, 0.5000, 0.5000)  4 Zn 3.13, 4 Ga 3.13
Eu (0.5000, 0.0000, 0.5000)  4 Zn 3.13, 4 Ga 3.13
Eu (0.5000, 0.5000, 0.0000)  4 Zn 3.13, 4 Ga 3.13
Lu (0.0000, 0.0000, 0.5000)  4 Zn 3.13, 4 Ga 3.13
Lu (0.0000, 0.5000, 0.0000)  4 Zn 3.13, 4 Ga 3.13
Lu (0.5000, 0.0000, 0.0000)  4 Zn 3.13, 4 Ga 3.13
Lu (0.5000, 0.5000, 0.5000)  4 Zn 3.13, 4 Ga 3.13
Zn (0.2500, 0.2500, 0.7500)  4 Eu 3.13, 4 Lu 3.13
Zn (0.2500, 0.7500, 0.2500)  4 Eu 3.13, 4 Lu 3.13
Zn (0.7500, 0.2500, 0.2500)  4 Eu 3.13, 4 Lu 3.13
Zn (0.7500, 0.7500, 0.7500)  4 Eu 3.13, 4 Lu 3.13
Ga (0.2500, 0.2500, 0.2500)  4 Eu 3.13, 4 Lu 3.13
Ga (0.2500, 0.7500, 0.7500)  4 Eu 3.13, 4 Lu 3.13
Ga (0.7500, 0.2500, 0.7500)  4 Eu 3.13, 4 Lu 3.13
Ga (0.7500, 0.7500, 0.2500)  4 Eu 3.13, 4 Lu 3.13

Space-group type ... F-43m
Energy relative to the elements ... -0.386 eV/atom



7.
An optimized crystal structure of Ho2Zn15Rh2, computed with PBE-GGA.

Lattice parameters (Å, degrees): 6.7504 6.7504 6.7504 83.44 83.44 83.44
Last column: nearest neighbours and their distance in Å.
Fractional positions:
Ho (0.1694, 0.1694, 0.1694)  1 Rh 2.85
Ho (0.8306, 0.8306, 0.8306)  1 Rh 2.85
Zn (0.0000, 0.5000, 0.5000)  8 Zn 2.54-2.62, 2 Rh 2.69
Zn (0.1468, 0.1468, 0.6524)  8 Zn 2.61-2.74, 1 Rh 2.79
Zn (0.1468, 0.6524, 0.1468)  8 Zn 2.61-2.74, 1 Rh 2.79
Zn (0.2155, 0.5000, 0.7845)  8 Zn 2.54-2.74
Zn (0.2155, 0.7845, 0.5000)  8 Zn 2.54-2.74
Zn (0.3476, 0.8532, 0.8532)  8 Zn 2.61-2.74, 1 Rh 2.79
Zn (0.5000, 0.0000, 0.5000)  8 Zn 2.54-2.62, 2 Rh 2.69
Zn (0.5000, 0.2155, 0.7845)  8 Zn 2.54-2.74
Zn (0.5000, 0.5000, 0.0000)  8 Zn 2.54-2.62, 2 Rh 2.69
Zn (0.5000, 0.7845, 0.2155)  8 Zn 2.54-2.74
Zn (0.6524, 0.1468, 0.1468)  8 Zn 2.61-2.74, 1 Rh 2.79
Zn (0.7845, 0.2155, 0.5000)  8 Zn 2.54-2.74
Zn (0.7845, 0.5000, 0.2155)  8 Zn 2.54-2.74
Zn (0.8532, 0.3476, 0.8532)  8 Zn 2.61-2.74, 1 Rh 2.79
Zn (0.8532, 0.8532, 0.3476)  8 Zn 2.61-2.74, 1 Rh 2.79
Rh (0.3891, 0.3891, 0.3891)  12 Zn 2.69-2.93, 1 Ho 2.85, 1 Rh 2.87
Rh (0.6109, 0.6109, 0.6109)  12 Zn 2.69-2.93, 1 Ho 2.85, 1 Rh 2.87

Space-group type ... R-3m
Energy relative to the elements ... -0.290 eV/atom



8.
An optimized crystal structure of Th3Ag, computed with PBE-GGA.

Lattice parameters (Å, degrees): 3.4191 3.4383 10.3565 90.00 90.00 90.00
Last column: nearest neighbours and their distance in Å.
Fractional positions:
Th (0.0000, 0.0000, 0.0000)  10 Th 3.42-3.57
Th (0.0000, 0.5000, 0.2859)  4 Ag 3.20, 6 Th 3.42-3.44
Th (0.5000, 0.5000, 0.7464)  2 Ag 3.18, 4 Th 3.42-3.44
Ag (0.5000, 0.0000, 0.4878)  6 Th 3.18-3.20, 4 Ag 3.42-3.44

Space-group type ... Pmm2
Energy relative to the elements ... 0.215 eV/atom



9.
An optimized crystal structure of FeMo2Br, computed with PBE-GGA.

Lattice parameters (Å, degrees): 5.3327 8.5030 2.9241 90.00 109.22 90.00
Last column: nearest neighbours and their distance in Å.
Fractional positions:
Fe (0.0000, 0.0000, 0.0000)  2 Br 2.67, 4 Mo 2.67, 2 Fe 2.92
Fe (0.5000, 0.5000, 0.0000)  2 Br 2.67, 4 Mo 2.67, 2 Fe 2.92
Mo (0.2500, 0.2500, 0.5000)  4 Mo 2.67-2.92, 2 Fe 2.67, 2 Br 2.67
Mo (0.2500, 0.7500, 0.5000)  4 Mo 2.67-2.92, 2 Br 2.67, 2 Fe 2.67
Mo (0.7500, 0.2500, 0.5000)  4 Mo 2.67-2.92, 2 Fe 2.67, 2 Br 2.67
Mo (0.7500, 0.7500, 0.5000)  4 Mo 2.67-2.92, 2 Fe 2.67, 2 Br 2.67
Br (0.0000, 0.5000, 0.0000)  2 Fe 2.67, 4 Mo 2.67, 2 Br 2.92
Br (0.5000, 0.0000, 0.0000)  2 Fe 2.67, 4 Mo 2.67, 2 Br 2.92

Space-group type ... C2/m
Formation energy without anion corrections ... 0.879 eV/atom



10.
An optimized crystal structure of YPb2ClO, computed with PBE-GGA.

Lattice parameters (Å, degrees): 6.2802 6.2802 4.1932 90.00 90.00 90.00
Last column: nearest neighbours and their distance in Å.
Fractional positions:
Y (0.0000, 0.0000, 0.0000)  2 O 2.10
Pb (0.0000, 0.5000, 0.0000)  2 Y 3.14
Pb (0.5000, 0.0000, 0.0000)  2 Y 3.14
Cl (0.5000, 0.5000, 0.5000)  8 Pb 3.78, 2 Cl 4.19
O (0.0000, 0.0000, 0.5000)  2 Y 2.10

Space-group type ... P4/mmm
Formation energy without anion corrections ... -0.596 eV/atom



11.
An optimized crystal structure of La2AgHgRu, computed with PBE-GGA.

Lattice parameters (Å, degrees): 5.3329 5.3329 5.3164 90.00 90.00 90.00
Last column: nearest neighbours and their distance in Å.
Fractional positions:
La (0.0000, 0.5000, 0.0000)  2 Ru 2.67
La (0.5000, 0.0000, 0.0000)  2 Ru 2.67
Ag (0.0000, 0.0000, 0.5000)  8 La 3.77, 4 Hg 3.77
Hg (0.5000, 0.5000, 0.5000)  2 Ru 2.66
Ru (0.5000, 0.5000, 0.0000)  2 Hg 2.66, 4 La 2.67

Space-group type ... P4/mmm
Energy relative to the elements ... -0.153 eV/atom



12.
An optimized crystal structure of UAlTl2Te5, computed with PBE-GGA.

Lattice parameters (Å, degrees): 10.2204 10.2204 14.8057 90.00 90.00 155.51
Last column: nearest neighbours and their distance in Å.
Fractional positions:
U (0.1999, 0.8001, 0.5000)  6 Te 2.89-3.10
U (0.8001, 0.1999, 0.0000)  6 Te 2.89-3.10
Al (0.4338, 0.5662, 0.8906)  4 Te 2.56-2.73
Al (0.5662, 0.4338, 0.3906)  4 Te 2.56-2.73
Tl (0.1137, 0.8863, 0.8069)  4 Te 3.32-3.49
Tl (0.1224, 0.8776, 0.1498)  5 Te 3.35-3.54
Tl (0.8776, 0.1224, 0.6498)  5 Te 3.35-3.54
Tl (0.8863, 0.1137, 0.3069)  4 Te 3.32-3.49
Te (0.0444, 0.9556, 0.4991)  2 Al 2.73
Te (0.2994, 0.7006, 0.1387)  2 U 2.99
Te (0.3021, 0.6979, 0.8531)  1 Al 2.69
Te (0.3441, 0.6559, 0.4830)  1 U 2.89
Te (0.4980, 0.5020, 0.7409)  1 Al 2.56
Te (0.5020, 0.4980, 0.2409)  1 Al 2.56
Te (0.6559, 0.3441, 0.9830)  1 U 2.89
Te (0.6979, 0.3021, 0.3531)  1 Al 2.69
Te (0.7006, 0.2994, 0.6387)  2 U 2.99
Te (0.9556, 0.0444, 0.9991)  2 Al 2.73

Space-group type ... Cmc2_1
Formation energy without anion corrections ... -0.434 eV/atom



13.
An optimized crystal structure of Cd2CoP, computed with PBE-GGA.

Lattice parameters (Å, degrees): 2.9273 2.9273 7.9421 90.00 90.00 90.00
Last column: nearest neighbours and their distance in Å.
Fractional positions:
Cd (0.0000, 0.0000, 0.0000)  8 Cd 2.93-3.23, 4 P 3.21
Cd (0.5000, 0.5000, 0.3118)  4 Co 2.89, 8 Cd 2.93-3.23, 1 P 3.01
Co (0.0000, 0.0000, 0.5661)  4 P 2.30
P (0.5000, 0.5000, 0.6914)  4 Co 2.30

Space-group type ... P4mm
Energy relative to the elements ... -0.006 eV/atom



14.
An optimized crystal structure of CrCdIr, computed with PBE-GGA.

Lattice parameters (Å, degrees): 2.8834 4.6271 14.0473 90.00 90.00 90.00
Last column: nearest neighbours and their distance in Å.
Fractional positions:
Cr (0.0000, 0.0000, 0.0000)  2 Ir 2.48, 4 Cr 2.73
Cr (0.0000, 0.5000, 0.5000)  2 Ir 2.48, 4 Cr 2.73
Cr (0.5000, 0.0000, 0.5000)  2 Ir 2.48, 4 Cr 2.73
Cr (0.5000, 0.5000, 0.0000)  2 Ir 2.48, 4 Cr 2.73
Cd (0.0000, 0.0000, 0.6734)  6 Cd 2.73-2.88, 2 Cr 2.83, 2 Ir 2.95
Cd (0.0000, 0.5000, 0.1734)  6 Cd 2.73-2.88, 2 Cr 2.83, 2 Ir 2.95
Cd (0.5000, 0.0000, 0.1734)  6 Cd 2.73-2.88, 2 Cr 2.83, 2 Ir 2.95
Cd (0.5000, 0.5000, 0.6734)  6 Cd 2.73-2.88, 2 Cr 2.83, 2 Ir 2.95
Ir (0.0000, 0.0000, 0.3566)  2 Cr 2.48, 4 Ir 2.73
Ir (0.0000, 0.5000, 0.8566)  2 Cr 2.48, 4 Ir 2.73
Ir (0.5000, 0.0000, 0.8566)  2 Cr 2.48, 4 Ir 2.73
Ir (0.5000, 0.5000, 0.3566)  2 Cr 2.48, 4 Ir 2.73

Space-group type ... Fmm2
Energy relative to the elements ... 0.371 eV/atom



15.
An optimized crystal structure of Cs2SnHg, computed with PBE-GGA.

Lattice parameters (Å, degrees): 13.9410 13.9410 5.4804 90.00 90.00 90.00
Last column: nearest neighbours and their distance in Å.
Fractional positions:
Cs (0.0822, 0.7500, 0.1250)  2 Hg 3.73
Cs (0.2500, 0.0822, 0.8750)  2 Hg 3.73
Cs (0.2500, 0.4178, 0.3750)  2 Hg 3.73
Cs (0.4178, 0.7500, 0.6250)  2 Hg 3.73
Cs (0.5822, 0.2500, 0.6250)  2 Hg 3.73
Cs (0.7500, 0.5822, 0.3750)  2 Hg 3.73
Cs (0.7500, 0.9178, 0.8750)  2 Hg 3.73
Cs (0.9178, 0.2500, 0.1250)  2 Hg 3.73
Sn (0.0000, 0.0000, 0.5000)  2 Hg 2.74
Sn (0.0000, 0.5000, 0.7500)  2 Hg 2.74
Sn (0.5000, 0.0000, 0.2500)  2 Hg 2.74
Sn (0.5000, 0.5000, 0.0000)  2 Hg 2.74
Hg (0.0000, 0.0000, 0.0000)  2 Sn 2.74
Hg (0.0000, 0.5000, 0.2500)  2 Sn 2.74
Hg (0.5000, 0.0000, 0.7500)  2 Sn 2.74
Hg (0.5000, 0.5000, 0.5000)  2 Sn 2.74

Space-group type ... I-42d
Energy relative to the elements ... -0.081 eV/atom



16.
An optimized crystal structure of KCuP2, computed with PBE-GGA.

Lattice parameters (Å, degrees): 5.8894 9.4231 2.6093 90.00 90.00 90.00
Last column: nearest neighbours and their distance in Å.
Fractional positions:
K (0.0000, 0.0000, 0.0000)  2 K 2.61
K (0.5000, 0.5000, 0.0000)  2 K 2.61
Cu (0.0000, 0.5000, 0.0000)  2 Cu 2.61
Cu (0.5000, 0.0000, 0.0000)  2 Cu 2.61
P (0.2500, 0.2500, 0.5000)  2 P 2.61
P (0.2500, 0.7500, 0.5000)  2 P 2.61
P (0.7500, 0.2500, 0.5000)  2 P 2.61
P (0.7500, 0.7500, 0.5000)  2 P 2.61

Space-group type ... Cmmm
Energy relative to the elements ... 0.514 eV/atom



17.
An optimized crystal structure of LaTbCu2Si2, computed with PBE-GGA.

Lattice parameters (Å, degrees): 4.2124 4.2124 7.8432 90.00 90.00 120.00
Last column: nearest neighbours and their distance in Å.
Fractional positions:
La (0.0000, 0.0000, 0.0000)  6 Si 3.20, 6 Cu 3.24
Tb (0.0000, 0.0000, 0.5000)  6 Cu 3.02, 6 Si 3.05
Cu (0.3333, 0.6667, 0.7279)  3 Si 2.43
Cu (0.6667, 0.3333, 0.2721)  3 Si 2.43
Si (0.3333, 0.6667, 0.2644)  3 Cu 2.43
Si (0.6667, 0.3333, 0.7356)  3 Cu 2.43

Space-group type ... P-3m1
Formation energy without anion corrections ... -0.649 eV/atom



18.
An optimized crystal structure of LaBeW2, computed with PBE-GGA.

Lattice parameters (Å, degrees): 4.0142 4.0142 9.1836 90.00 90.00 90.00
Last column: nearest neighbours and their distance in Å.
Fractional positions:
La (0.0000, 0.0000, 0.0000)  4 Be 2.84, 8 W 3.05
La (0.5000, 0.5000, 0.5000)  4 Be 2.84, 8 W 3.05
Be (0.0000, 0.0000, 0.5000)  4 La 2.84, 8 W 3.05
Be (0.5000, 0.5000, 0.0000)  4 La 2.84, 8 W 3.05
W (0.0000, 0.5000, 0.2500)  4 W 2.84, 4 La 3.05, 4 Be 3.05
W (0.0000, 0.5000, 0.7500)  4 W 2.84, 4 La 3.05, 4 Be 3.05
W (0.5000, 0.0000, 0.2500)  4 W 2.84, 4 La 3.05, 4 Be 3.05
W (0.5000, 0.0000, 0.7500)  4 W 2.84, 4 La 3.05, 4 Be 3.05

Space-group type ... I4/mmm
Energy relative to the elements ... 0.998 eV/atom



19.
An optimized crystal structure of MnNiBr2, computed with PBE-GGA.

Lattice parameters (Å, degrees): 3.6391 3.6391 23.3219 90.00 90.00 120.00
Last column: nearest neighbours and their distance in Å.
Fractional positions:
Mn (0.0000, 0.0000, 0.0000)  3 Ni 2.51, 3 Br 2.60
Mn (0.3333, 0.6667, 0.6667)  3 Ni 2.51, 3 Br 2.60
Mn (0.6667, 0.3333, 0.3333)  3 Ni 2.51, 3 Br 2.60
Ni (0.0000, 0.0000, 0.7253)  3 Br 2.43, 3 Mn 2.51
Ni (0.3333, 0.6667, 0.3919)  3 Br 2.43, 3 Mn 2.51
Ni (0.6667, 0.3333, 0.0586)  3 Br 2.43, 3 Mn 2.51
Br (0.0000, 0.0000, 0.2679)  3 Mn 2.60
Br (0.0000, 0.0000, 0.4439)  3 Ni 2.43
Br (0.3333, 0.6667, 0.1105)  3 Ni 2.43
Br (0.3333, 0.6667, 0.9346)  3 Mn 2.60
Br (0.6667, 0.3333, 0.6012)  3 Mn 2.60
Br (0.6667, 0.3333, 0.7772)  3 Ni 2.43

Space-group type ... R3m
Formation energy without anion corrections ... -0.167 eV/atom



20.
An optimized crystal structure of CdSiSe4, computed with PBE-GGA.

Lattice parameters (Å, degrees): 5.7420 5.7420 5.7420 60.00 60.00 60.00
Last column: nearest neighbours and their distance in Å.
Fractional positions:
Cd (0.0000, 0.0000, 0.0000)  12 Se 3.36, 4 Si 3.52
Si (0.2500, 0.2500, 0.2500)  12 Se 3.37, 4 Cd 3.52
Se (0.1231, 0.6256, 0.6256)  6 Se 2.86-2.89
Se (0.6256, 0.1231, 0.6256)  6 Se 2.86-2.89
Se (0.6256, 0.6256, 0.1231)  6 Se 2.86-2.89
Se (0.6256, 0.6256, 0.6256)  6 Se 2.86-2.89

Space-group type ... F-43m
Formation energy without anion corrections ... 0.634 eV/atom